1.
Computed, not measured: a relaxed structure of SrU2VO8 at the GGA+U level of DFT.

## Properties
- energy (eV per cell) = -106.20

a = 5.0001 Å, b = 5.0014 Å, c = 7.0262 Å
α = 89.99°, β = 89.99°, γ = 86.78°
Site moments in Bohr magnetons follow the coordinates.
Fractional positions:
O1 0.3116 0.3106 0.0000  -0.03
O2 0.6884 0.6894 0.0000  -0.03
O3 0.7972 0.2041 0.2114  -0.03
O4 0.7973 0.2042 0.7886  -0.03
O5 0.2027 0.7958 0.2114  -0.03
O6 0.3318 0.3300 0.4998  -0.02
O7 0.6682 0.6700 0.5002  -0.02
O8 0.2028 0.7959 0.7886  -0.03
Sr1 0.0000 0.0000 0.5000  0.00
V1 0.0000 0.0000 0.0000  1.88
U1 0.4999 0.4999 0.7576  0.60
U2 0.5001 0.5001 0.2424  0.60

2.
Computed, not measured: a relaxed structure of SrUV2O8 at the GGA+U level of DFT.

## Properties
- energy (eV per cell) = -97.41

a = 5.1683 Å, b = 5.1683 Å, c = 6.9313 Å
α = 111.89°, β = 111.89°, γ = 90.00°
Site moments in Bohr magnetons follow the coordinates.
Fractional positions:
O1 0.5783 0.6952 0.6667  -0.01
O2 0.0883 0.9714 0.6667  -0.01
O3 0.7414 0.8361 0.1278  -0.06
O4 0.3048 0.9117 0.3333  -0.01
O5 0.7083 0.2586 0.8722  -0.06
O6 0.0286 0.4217 0.3333  -0.01
O7 0.1639 0.6136 0.8722  -0.06
O8 0.3864 0.2917 0.1278  -0.06
U1 0.0000 0.0000 0.0000  1.11
V1 0.2500 0.7500 0.5000  0.06
V2 0.5000 0.5000 0.0000  1.03
Sr1 0.7500 0.2500 0.5000  0.00

3.
Computed, not measured: a relaxed structure of SrUVO6 at the GGA+U level of DFT.

## Properties
- energy (eV per cell) = -75.33

a = 5.4528 Å, b = 5.4526 Å, c = 5.3175 Å
α = 90.00°, β = 90.00°, γ = 60.00°
Site moments in Bohr magnetons follow the coordinates.
Fractional positions:
O1 0.9845 0.6355 0.7021  -0.02
O2 0.6355 0.3800 0.7021  -0.02
O3 0.9846 0.3799 0.2978  -0.02
O4 0.3799 0.9846 0.7021  -0.02
O5 0.6355 0.9845 0.2979  -0.02
O6 0.3799 0.6355 0.2979  -0.02
U1 0.3333 0.3333 0.5000  0.09
V1 0.6667 0.6667 0.5000  0.99
Sr1 0.0000 0.0000 0.0000  0.00

- Which value of energy does entry 2 give?
  -97.41 eV per cell